Material: Li7Tl3In
Method: DFT, PBE
State: optimized geometry

Cell: 3.216 11.802 12.465 Å, 90.00 90.00 97.83°
Fractional coordinates of all 22 atoms:
Li: 0.451 0.903 0.621
Tl: 0.837 0.673 0.250
Li: 0.451 0.903 0.879
Li: 0.549 0.097 0.121
Li: 0.409 0.818 0.101
Tl: 0.847 0.695 0.939
Li: 0.305 0.611 0.750
Tl: 0.163 0.327 0.750
Li: 0.726 0.451 0.904
Li: 0.549 0.097 0.379
Li: 0.274 0.549 0.096
Li: 0.695 0.389 0.250
Li: 0.591 0.182 0.601
Tl: 0.153 0.305 0.439
In: 0.972 0.944 0.250
In: 0.028 0.056 0.750
Tl: 0.847 0.695 0.561
Li: 0.409 0.818 0.399
Li: 0.726 0.451 0.596
Li: 0.274 0.549 0.404
Li: 0.591 0.182 0.899
Tl: 0.153 0.305 0.061

Results
space group: Cmcm, No. 63
uncorrected energy: -2.280 eV per atom
magnetic moment: 0.0 μB per cell